Sm6BO12: optimized geometry, PBE-GGA.

Cell and atoms, written as POSCAR:
```
Sm6BO12
1.0
4.9872 2.8793 3.1333
-4.9872 2.8793 3.1333
0.0000 -5.7587 3.1333
Sm B O
6 1 12
Direct
0.1041 0.6426 0.8011
0.1989 0.8959 0.3574
0.3574 0.1989 0.8959
0.6426 0.8011 0.1041
0.8011 0.1041 0.6426
0.8959 0.3574 0.1989
0.5000 0.5000 0.5000
0.0573 0.3232 0.9040
0.0960 0.9427 0.6768
0.2395 0.5286 0.4386
0.3232 0.9040 0.0573
0.4386 0.2395 0.5286
0.4714 0.5614 0.7605
0.5286 0.4386 0.2395
0.5614 0.7605 0.4714
0.6768 0.0960 0.9427
0.7605 0.4714 0.5614
0.9040 0.0573 0.3232
0.9427 0.6768 0.0960
```

Summary:
The calculation puts the total moment at 3.04 μB per cell. Its density of states at the Fermi level is 2.93 states/eV per cell. The value obtained for the uncorrected formation energy is -50.8 eV/f.u. Its calculated density is 6.8 g/cm³.

SmB2O4: optimized geometry, PBE-GGA.

Cell and atoms, written as POSCAR:
```
SmB2O4
1.0
-3.4322 3.4322 2.0296
3.4322 -3.4322 2.0296
3.4322 3.4322 -2.0296
Sm B O
1 2 4
Direct
0.0000 0.0000 0.0000
0.2500 0.7500 0.5000
0.7500 0.2500 0.5000
0.0033 0.3415 0.3448
0.3415 0.9967 0.3381
0.6585 0.0033 0.6619
0.9967 0.6585 0.6552
```

Summary:
The calculation puts the total moment at 0.00 μB per cell. The excess energy over the best structure of this formula in the dataset is 0.0 meV per atom. Its density of states at the Fermi level is 1.11 states/eV per cell. The value obtained for the uncorrected formation energy is -17.2 eV/f.u. Its calculated density is 4.1 g/cm³.

Sm2B2O7: optimized geometry, PBE-GGA.

Cell and atoms, written as POSCAR:
```
Sm2B2O7
1.0
3.5268 -4.4879 0.0000
3.5268 4.4879 0.0000
-1.9451 0.0000 4.3047
Sm B O
2 2 7
Direct
0.2095 0.7905 0.0000
0.7905 0.2095 0.0000
0.2269 0.2269 0.6266
0.7731 0.7731 0.3734
0.0856 0.3560 0.7645
0.1948 0.1948 0.3123
0.3560 0.0856 0.7645
0.5000 0.5000 0.5000
0.6440 0.9144 0.2355
0.8052 0.8052 0.6877
0.9144 0.6440 0.2355
```

Summary:
The calculation puts the total moment at 0.05 μB per cell. The value obtained for the uncorrected formation energy is -27.6 eV/f.u. Its calculated density is 5.3 g/cm³.

Sm3BO6: optimized geometry, PBE-GGA.

Cell and atoms, written as POSCAR:
```
Sm3BO6
1.0
4.4978 -5.6556 0.0000
4.4978 5.6556 0.0000
0.0000 0.0000 5.2769
Sm B O
6 2 12
Direct
0.1060 0.8940 0.5000
0.1991 0.4195 0.5443
0.4195 0.1991 0.0443
0.5805 0.8009 0.5443
0.8009 0.5805 0.0443
0.8940 0.1060 0.0000
0.3068 0.6932 0.0966
0.6932 0.3068 0.5966
0.1104 0.6181 0.2155
0.1481 0.1715 0.2769
0.1715 0.1481 0.7769
0.2968 0.7032 0.8111
0.3819 0.8896 0.2155
0.4332 0.5668 0.1997
0.5668 0.4332 0.6997
0.6181 0.1104 0.7155
0.7032 0.2968 0.3111
0.8285 0.8519 0.2769
0.8519 0.8285 0.7769
0.8896 0.3819 0.7155
```

Summary:
The calculation puts the total moment at 0.00 μB per cell. Its density of states at the Fermi level is 0.00 states/eV per cell. The value obtained for the uncorrected formation energy is -31.8 eV/f.u. Its calculated density is 6.9 g/cm³.

Sm3B3O7: optimized geometry, PBE-GGA.

Cell and atoms, written as POSCAR:
```
Sm3B3O7
1.0
25.4920 0.0000 0.0000
0.0000 1.9527 3.6123
0.0000 -1.9527 3.6123
Sm B O
6 6 14
Direct
0.0815 0.0000 0.0000
0.2544 0.9996 0.9996
0.4179 0.9928 0.9928
0.5821 0.9928 0.9928
0.7456 0.9996 0.9996
0.9185 0.0000 0.0000
0.0000 0.7545 0.7545
0.1679 0.3581 0.3581
0.3360 0.7528 0.7528
0.5000 0.2334 0.2334
0.6640 0.7528 0.7528
0.8321 0.3581 0.3581
0.0475 0.6587 0.6587
0.1167 0.3262 0.3262
0.1680 0.9745 0.9745
0.2191 0.3262 0.3262
0.2881 0.6598 0.6598
0.3831 0.6557 0.6557
0.4524 0.3274 0.3274
0.5476 0.3274 0.3274
0.6169 0.6557 0.6557
0.7119 0.6598 0.6598
0.7809 0.3262 0.3262
0.8320 0.9745 0.9745
0.8833 0.3262 0.3262
0.9525 0.6587 0.6587
```

Summary:
The calculation puts the total moment at 0.00 μB per cell. The value obtained for the uncorrected formation energy is -32.0 eV/f.u. Its calculated density is 5.5 g/cm³.

Sm2B4O9: optimized geometry, PBE-GGA.

Cell and atoms, written as POSCAR:
```
Sm2B4O9
1.0
6.2814 0.0000 0.0000
-1.4216 6.4265 0.0000
-0.9131 -1.8142 7.3288
Sm B O
4 8 18
Direct
0.0471 0.0918 0.2842
0.3854 0.6764 0.3571
0.6146 0.3236 0.6429
0.9529 0.9082 0.7158
0.1269 0.3564 0.6534
0.1620 0.6759 0.9240
0.2270 0.3338 0.9813
0.4937 0.1501 0.1878
0.5063 0.8499 0.8122
0.7730 0.6662 0.0187
0.8380 0.3241 0.0760
0.8731 0.6436 0.3466
0.0062 0.7837 0.0150
0.0430 0.5352 0.7481
0.0748 0.8138 0.4403
0.2596 0.2639 0.7923
0.2708 0.5662 0.0377
0.2789 0.4044 0.5261
0.3144 0.8592 0.8791
0.3572 0.2799 0.1390
0.4329 0.0484 0.3213
0.5671 0.9516 0.6787
0.6428 0.7201 0.8610
0.6856 0.1408 0.1209
0.7211 0.5956 0.4739
0.7292 0.4338 0.9623
0.7404 0.7361 0.2077
0.9252 0.1862 0.5597
0.9570 0.4648 0.2519
0.9938 0.2163 0.9850
```

Summary:
The calculation puts the total moment at 0.00 μB per cell. Its density of states at the Fermi level is 0.00 states/eV per cell. The value obtained for the uncorrected formation energy is -42.8 eV/f.u. Its calculated density is 5.5 g/cm³.